{
  "formula": "Sr2TlW",
  "functional": "GGA-PBE",
  "state": "optimized geometry",
  "cell": [[4.983, 0.000, 0.000], [0.000, 4.983, 0.000], [0.000, 0.000, 9.507]],
  "species": ["Sr", "Sr", "Sr", "Sr", "Tl", "Tl", "W", "W"],
  "frac_coords": [[0.000, 0.000, 0.000], [0.000, 0.500, 0.250], [0.500, 0.000, 0.750], [0.500, 0.500, 0.500], [0.000, 0.500, 0.750], [0.500, 0.000, 0.250], [0.000, 0.000, 0.500], [0.500, 0.500, 0.000]],
  "de_polymorph_mev_per_atom": 184,
  "n_ef_per_ev_cell": 8.79,
  "formation_enthalpy_0k_mev_per_atom": 899,
  "spacegroup": "I-4m2 (119)"
}